Record 1
Here is a geometry-optimized ZrPtS structure from Alexandria via LeMat-Bulk. Energies are from GGA-PBE.

## Properties
**Offset from the most stable computed form**: 0 meV/atom
**ΔE_f (raw)**: -1.2134 eV per atom

Cell: 3.540 3.540 8.673 Å, 90.00 90.00 90.00°
Fractional coordinates of all 6 atoms:
Zr (0.250, 0.250, 0.249)
Zr (0.750, 0.750, 0.751)
Pt (0.250, 0.250, 0.566)
Pt (0.750, 0.750, 0.434)
S (0.250, 0.250, 0.860)
S (0.750, 0.750, 0.140)

=====

Record 2
Here is a geometry-optimized Na6TlHg3 structure from Alexandria via LeMat-Bulk. Energies are from GGA-PBE.

## Properties
**Offset from the most stable computed form**: 0 meV/atom
**DFT formation energy**: -0.173 eV/atom

Cell: 9.068 5.450 11.949 Å, 90.00 111.52 90.00°
Fractional coordinates of all 20 atoms:
Na (0.005, 0.250, 0.161)
Na (0.011, 0.250, 0.670)
Na (0.211, 0.750, 0.129)
Na (0.220, 0.250, 0.487)
Na (0.396, 0.750, 0.927)
Na (0.438, 0.250, 0.279)
Na (0.562, 0.750, 0.721)
Na (0.604, 0.250, 0.073)
Na (0.780, 0.750, 0.513)
Na (0.789, 0.250, 0.871)
Na (0.989, 0.750, 0.330)
Na (0.995, 0.750, 0.839)
Tl (0.393, 0.750, 0.426)
Tl (0.607, 0.250, 0.574)
Hg (0.179, 0.750, 0.631)
Hg (0.205, 0.250, 0.972)
Hg (0.395, 0.250, 0.775)
Hg (0.605, 0.750, 0.225)
Hg (0.795, 0.750, 0.028)
Hg (0.821, 0.250, 0.369)

=====

Record 3
Here is a geometry-optimized Ta5Cr3 structure from Alexandria via LeMat-Bulk. Energies are from GGA-PBE.

## Properties
**Offset from the most stable computed form**: 133 meV/atom
**DFT formation energy**: 0.176 eV/atom

Cell: 7.457 7.457 5.358 Å, 90.00 90.00 120.00°
Fractional coordinates of all 16 atoms:
Ta (0.000, 0.233, 0.250)
Ta (0.000, 0.767, 0.750)
Ta (0.233, 0.000, 0.250)
Ta (0.233, 0.233, 0.750)
Ta (0.333, 0.667, 0.000)
Ta (0.333, 0.667, 0.500)
Ta (0.667, 0.333, 0.000)
Ta (0.667, 0.333, 0.500)
Ta (0.767, 0.000, 0.750)
Ta (0.767, 0.767, 0.250)
Cr (0.000, 0.398, 0.750)
Cr (0.000, 0.602, 0.250)
Cr (0.398, 0.000, 0.750)
Cr (0.398, 0.398, 0.250)
Cr (0.602, 0.000, 0.250)
Cr (0.602, 0.602, 0.750)